This record from the Alexandria database describes a relaxed structure of ZnReSn2Bi. The functional is GGA-PBE.

Computed properties:
volume	176	Å³ per cell
space-group type	No. 123
ΔH_f (0 K)	1.81	eV per atom
N(E_F)	4.5	states/eV/cell
VASP energy	-0.244	Ry per atom
M_tot	3.700	μB per formula unit

Structure (POSCAR):
```
ZnReSn2Bi
1.0
5.851 0.000 0.000
0.000 5.146 0.000
0.000 0.000 5.851
Sn Bi Re Zn
2 1 1 1
Direct
0.000 0.000 0.500
0.500 0.000 0.000
0.000 0.000 0.000
0.500 0.500 0.500
0.000 0.500 0.000
```